Entry 1:
DFT (PBE) results for a relaxed structure of V3TcGe.

Raw total energy = -8.42 eV/atom
ΔH_f (0 K) = 21 kJ/mol of formula units
E above lowest polymorph = 0.00 kcal/mol of atoms

Structure (CIF):
```
data_V3TcGe
_chemical_formula_sum 'V6 Tc2 Ge2'
_cell_length_a 4.360
_cell_length_b 5.470
_cell_length_c 6.128
_cell_angle_alpha 90.00
_cell_angle_beta 94.26
_cell_angle_gamma 90.00
_space_group_name_H-M_alt 'P 1 21/m 1'
_space_group_IT_number 11
loop_
_space_group_symop_operation_xyz
'x,y,z'
'-x,-y,-z'
'-x,y+1/2,-z'
'x,-y+1/2,z'
loop_
_atom_site_label
_atom_site_fract_x
_atom_site_fract_y
_atom_site_fract_z
V1 0.161 0.027 0.258
V2 0.335 0.750 0.543
Tc1 0.273 0.250 0.721
Ge1 0.339 0.750 0.939
```

***

Entry 2:
DFT (PBE) results for a relaxed structure of V12TcGe7.

Raw total energy = -7.56 eV/atom
ΔH_f (0 K) = 87 kJ/mol of formula units

Structure (CIF):
```
data_V12TcGe7
_chemical_formula_sum 'V36 Tc3 Ge21'
_cell_length_a 9.7236
_cell_length_b 9.7236
_cell_length_c 11.0179
_cell_angle_alpha 90.00
_cell_angle_beta 90.00
_cell_angle_gamma 120.00
_space_group_name_H-M_alt 'R -3'
_space_group_IT_number 148
_space_group_name_Hall '-R 3'
loop_
_atom_site_label
_atom_site_fract_x
_atom_site_fract_y
_atom_site_fract_z
V1 0.0197 0.4481 0.2011
V2 0.0637 0.8091 0.9103
Tc1 0.0000 0.0000 0.5000
Ge1 0.0000 0.0000 0.0000
Ge2 0.0150 0.1999 0.3145
```

***

Entry 3:
DFT (PBE) results for a relaxed structure of V4TcGe2.

Raw total energy = -8.20 eV/atom
ΔH_f (0 K) = -128 kJ/mol of formula units
E above lowest polymorph = 0.00 kcal/mol of atoms

Structure (CIF):
```
data_V4TcGe2
_chemical_formula_sum 'V8 Tc2 Ge4'
_cell_length_a 6.544
_cell_length_b 6.556
_cell_length_c 6.559
_cell_angle_alpha 118.59
_cell_angle_beta 118.61
_cell_angle_gamma 92.35
_space_group_name_H-M_alt 'P 1'
_space_group_IT_number 1
loop_
_space_group_symop_operation_xyz
'x,y,z'
loop_
_atom_site_label
_atom_site_fract_x
_atom_site_fract_y
_atom_site_fract_z
V1 0.000 0.000 0.000
V2 0.049 0.486 0.177
V3 0.274 0.854 0.791
V4 0.537 0.744 0.598
V5 0.596 0.217 0.805
V6 0.656 0.692 0.020
V7 0.808 0.617 0.403
V8 0.895 0.085 0.635
Tc1 0.133 0.946 0.414
Tc2 0.741 0.154 0.212
Ge1 0.244 0.392 0.548
Ge2 0.360 0.325 0.067
Ge3 0.427 0.899 0.254
Ge4 0.844 0.504 0.734
```

***

Entry 4:
DFT (PBE) results for a relaxed structure of TcGeW3.

Raw total energy = -8.94 eV/atom
ΔH_f (0 K) = 881 kJ/mol of formula units
E above lowest polymorph = 0.00 kcal/mol of atoms

Structure (CIF):
```
data_TcGeW3
_chemical_formula_sum 'Tc1 Ge1 W3'
_cell_length_a 4.532
_cell_length_b 4.532
_cell_length_c 4.532
_cell_angle_alpha 90.00
_cell_angle_beta 90.00
_cell_angle_gamma 90.00
_space_group_name_H-M_alt 'P m -3 m'
_space_group_IT_number 221
_space_group_name_Hall '-P 4 2 3'
loop_
_atom_site_label
_atom_site_fract_x
_atom_site_fract_y
_atom_site_fract_z
Tc1 0.000 0.000 0.000
Ge1 0.500 0.500 0.500
W1 0.000 0.500 0.500
```

***

Entry 5:
DFT (PBE) results for a relaxed structure of TcGeW.

Raw total energy = -9.20 eV/atom
ΔH_f (0 K) = 31 kJ/mol of formula units
E above lowest polymorph = 1.21 kcal/mol of atoms

Structure (CIF):
```
data_TcGeW
_chemical_formula_sum 'Tc4 Ge4 W4'
_cell_length_a 12.111
_cell_length_b 2.966
_cell_length_c 5.143
_cell_angle_alpha 90.00
_cell_angle_beta 90.00
_cell_angle_gamma 90.00
_space_group_name_H-M_alt 'A m m 2'
_space_group_IT_number 38
loop_
_space_group_symop_operation_xyz
'x,y,z'
'-x,-y,z'
'-x,y,z'
'x,-y,z'
'x,y+1/2,z+1/2'
'-x,-y+1/2,z+1/2'
'-x,y+1/2,z+1/2'
'x,-y+1/2,z+1/2'
loop_
_atom_site_label
_atom_site_fract_x
_atom_site_fract_y
_atom_site_fract_z
Tc1 0.175 0.000 0.000
Ge1 0.333 0.000 0.667
W1 0.000 0.000 0.668
W2 0.500 0.000 0.000
```

***

Entry 6:
DFT (PBE) results for a relaxed structure of TcGe4W.

Raw total energy = -6.70 eV/atom
ΔH_f (0 K) = 151 kJ/mol of formula units

Structure (CIF):
```
data_TcGe4W
_chemical_formula_sum 'Tc2 Ge8 W2'
_cell_length_a 9.200
_cell_length_b 9.332
_cell_length_c 2.892
_cell_angle_alpha 90.00
_cell_angle_beta 90.00
_cell_angle_gamma 90.00
_space_group_name_H-M_alt 'C m m m'
_space_group_IT_number 65
_space_group_name_Hall '-C 2 2'
loop_
_atom_site_label
_atom_site_fract_x
_atom_site_fract_y
_atom_site_fract_z
Tc1 0.000 0.000 0.000
Ge1 0.000 0.270 0.000
Ge2 0.220 0.000 0.500
W1 0.000 0.500 0.500
```

***

Entry 7:
DFT (PBE) results for a relaxed structure of TcGeW.

Raw total energy = -9.23 eV/atom
ΔH_f (0 K) = 23 kJ/mol of formula units
E above lowest polymorph = 0.58 kcal/mol of atoms

Structure (CIF):
```
data_TcGeW
_chemical_formula_sum 'Tc1 Ge1 W1'
_cell_length_a 4.2905
_cell_length_b 4.2905
_cell_length_c 2.8696
_cell_angle_alpha 90.00
_cell_angle_beta 90.00
_cell_angle_gamma 120.00
_space_group_name_H-M_alt 'P -6 m 2'
_space_group_IT_number 187
_space_group_name_Hall 'P -6 2'
loop_
_atom_site_label
_atom_site_fract_x
_atom_site_fract_y
_atom_site_fract_z
Tc1 0.0000 0.0000 0.0000
Ge1 0.6667 0.3333 0.0000
W1 0.3333 0.6667 0.5000
```

***

Entry 8:
DFT (PBE) results for a relaxed structure of Tc2GeW.

Raw total energy = -9.30 eV/atom
ΔH_f (0 K) = 105 kJ/mol of formula units

Structure (CIF):
```
data_Tc2GeW
_chemical_formula_sum 'Tc6 Ge3 W3'
_cell_length_a 4.2207
_cell_length_b 4.2207
_cell_length_c 12.9705
_cell_angle_alpha 90.00
_cell_angle_beta 90.00
_cell_angle_gamma 120.00
_space_group_name_H-M_alt 'R 3 m'
_space_group_IT_number 160
_space_group_name_Hall 'R 3 -2"'
loop_
_atom_site_label
_atom_site_fract_x
_atom_site_fract_y
_atom_site_fract_z
Tc1 0.0000 0.0000 0.0000
Tc2 0.0000 0.0000 0.1868
Ge1 0.0000 0.0000 0.6057
W1 0.0000 0.0000 0.4050
```

***

Entry 9:
DFT (PBE) results for a relaxed structure of TcGeW.

Raw total energy = -9.26 eV/atom
ΔH_f (0 K) = 16 kJ/mol of formula units
E above lowest polymorph = 0.00 kcal/mol of atoms

Structure (CIF):
```
data_TcGeW
_chemical_formula_sum 'Tc2 Ge2 W2'
_cell_length_a 3.060
_cell_length_b 3.060
_cell_length_c 9.544
_cell_angle_alpha 90.00
_cell_angle_beta 90.00
_cell_angle_gamma 90.00
_space_group_name_H-M_alt 'I 4 m m'
_space_group_IT_number 107
_space_group_name_Hall 'I 4 -2'
loop_
_atom_site_label
_atom_site_fract_x
_atom_site_fract_y
_atom_site_fract_z
Tc1 0.000 0.000 0.000
Ge1 0.000 0.000 0.347
W1 0.000 0.000 0.673
```

***

Entry 10:
DFT (PBE) results for a relaxed structure of Tc2Ge2W.

Raw total energy = -8.44 eV/atom
ΔH_f (0 K) = 71 kJ/mol of formula units

Structure (CIF):
```
data_Tc2Ge2W
_chemical_formula_sum 'Tc4 Ge4 W2'
_cell_length_a 7.060
_cell_length_b 7.060
_cell_length_c 3.003
_cell_angle_alpha 90.00
_cell_angle_beta 90.00
_cell_angle_gamma 90.00
_space_group_name_H-M_alt 'P 4/m b m'
_space_group_IT_number 127
_space_group_name_Hall '-P 4 2ab'
loop_
_atom_site_label
_atom_site_fract_x
_atom_site_fract_y
_atom_site_fract_z
Tc1 0.152 0.348 0.000
Ge1 0.146 0.646 0.500
W1 0.000 0.000 0.500
```

***

Entry 11:
DFT (PBE) results for a relaxed structure of TcGe2W.

Raw total energy = -7.40 eV/atom
ΔH_f (0 K) = 287 kJ/mol of formula units
E above lowest polymorph = 12.05 kcal/mol of atoms

Structure (CIF):
```
data_TcGe2W
_chemical_formula_sum 'Tc4 Ge8 W4'
_cell_length_a 6.994
_cell_length_b 6.994
_cell_length_c 5.448
_cell_angle_alpha 90.00
_cell_angle_beta 90.00
_cell_angle_gamma 90.00
_space_group_name_H-M_alt 'I -4 2 d'
_space_group_IT_number 122
_space_group_name_Hall 'I -4 2bw'
loop_
_atom_site_label
_atom_site_fract_x
_atom_site_fract_y
_atom_site_fract_z
Tc1 0.000 0.000 0.000
Ge1 0.242 0.750 0.125
W1 0.000 0.000 0.500
```

***

Entry 12:
DFT (PBE) results for a relaxed structure of Tc2GeW.

Raw total energy = -8.87 eV/atom
ΔH_f (0 K) = 274 kJ/mol of formula units

Structure (CIF):
```
data_Tc2GeW
_chemical_formula_sum 'Tc4 Ge2 W2'
_cell_length_a 2.702
_cell_length_b 4.373
_cell_length_c 11.865
_cell_angle_alpha 90.00
_cell_angle_beta 90.00
_cell_angle_gamma 90.00
_space_group_name_H-M_alt 'I m m m'
_space_group_IT_number 71
_space_group_name_Hall '-I 2 2'
loop_
_atom_site_label
_atom_site_fract_x
_atom_site_fract_y
_atom_site_fract_z
Tc1 0.000 0.000 0.213
Ge1 0.000 0.000 0.500
W1 0.000 0.000 0.000
```

***

| no. | volume (Å³ per atom) | density of states at the Fermi level (states/eV per cell) |
| --- | --- | --- |
| 1 | 14.6 | 8.90 |
| 2 | 15.0 | 51.40 |
| 3 | 14.5 | 10.73 |
| 4 | 18.6 | 6.18 |
| 5 | 15.4 | 10.29 |
| 6 | 20.7 | 8.48 |
| 7 | 15.2 | 1.69 |
| 8 | 16.7 | 6.89 |
| 9 | 14.9 | 4.04 |
| 10 | 15.0 | 9.74 |
| 11 | 16.7 | 17.40 |
| 12 | 17.5 | 9.32 |